No. 1
Compound: NaTaTlSe4
Source: Alexandria via LeMat-Bulk
Functional: PBE
Structure: relaxed

a b c (Å): 7.409 6.260 9.688
angles (deg): 90.00 107.44 90.00
Space group P2_1/m (No. 11)
Asymmetric unit:
Na: 0.241 0.250 0.056 [2 per cell]
Ta: 0.243 0.750 0.826 [2 per cell]
Tl: 0.274 0.250 0.560 [2 per cell]
Se: 0.007 0.520 0.244 [4 per cell]
Se: 0.406 0.750 0.078 [2 per cell]
Se: 0.437 0.750 0.666 [2 per cell]

Summary:
uncorrected formation energy	-611.2	meV per atom

---

No. 2
Compound: Na3Tm3TaSe8
Source: Alexandria via LeMat-Bulk
Functional: PBE
Structure: relaxed

a b c (Å): 7.9904 7.9904 21.3871
angles (deg): 90.00 90.00 120.00
Space group R-3m (No. 166, hexagonal axes)
Asymmetric unit:
Na: 0.0000 0.5000 0.0000 [9 per cell]
Tm: 0.0000 0.5000 0.5000 [9 per cell]
Ta: 0.0000 0.0000 0.5000 [3 per cell]
Se: 0.0000 0.0000 0.2428 [6 per cell]
Se: 0.0189 0.5094 0.2389 [18 per cell]

Summary:
uncorrected formation energy	-1456.4	meV per atom

---

No. 3
Compound: Na2UTa2Se6
Source: Alexandria via LeMat-Bulk
Functional: PBE
Structure: relaxed

a b c (Å): 6.601 10.991 7.604
angles (deg): 90.00 102.18 90.00
Space group C2/m (No. 12)
Asymmetric unit:
Na: 0.000 0.174 0.000 [4 per cell]
U: 0.000 0.000 0.500 [2 per cell]
Ta: 0.000 0.367 0.500 [4 per cell]
Se: 0.223 0.500 0.747 [4 per cell]
Se: 0.234 0.181 0.707 [8 per cell]

Summary:
uncorrected formation energy	-946.3	meV per atom

---

No. 4
Compound: Na2Ta2VSe6
Source: Alexandria via LeMat-Bulk
Functional: PBE
Structure: relaxed

a b c (Å): 6.274 10.962 7.587
angles (deg): 90.00 103.37 90.00
Space group C2/m (No. 12)
Asymmetric unit:
Na: 0.000 0.181 0.000 [4 per cell]
Ta: 0.000 0.365 0.500 [4 per cell]
V: 0.000 0.000 0.500 [2 per cell]
Se: 0.220 0.171 0.697 [8 per cell]
Se: 0.250 0.000 0.263 [4 per cell]

Summary:
uncorrected formation energy	-864.3	meV per atom

---

No. 5
Compound: NaTaVSe3
Source: Alexandria via LeMat-Bulk
Functional: PBE
Structure: relaxed

a b c (Å): 8.014 3.520 9.725
angles (deg): 90.00 112.44 90.00
Space group P2_1/m (No. 11)
Asymmetric unit:
Na: 0.243 0.250 0.226 [2 per cell]
Ta: 0.205 0.750 0.680 [2 per cell]
V: 0.419 0.250 0.902 [2 per cell]
Se: 0.065 0.750 0.377 [2 per cell]
Se: 0.237 0.750 0.964 [2 per cell]
Se: 0.426 0.250 0.646 [2 per cell]

Summary:
uncorrected formation energy	-822.5	meV per atom

---

No. 6
Compound: Na2TaWSe
Source: Alexandria via LeMat-Bulk
Functional: PBE
Structure: relaxed

a b c (Å): 6.021 6.021 4.806
angles (deg): 90.00 90.00 90.00
Space group P4/mmm (No. 123)
Asymmetric unit:
Na: 0.000 0.500 0.000 [2 per cell]
Ta: 0.000 0.000 0.000 [1 per cell]
W: 0.500 0.500 0.500 [1 per cell]
Se: 0.000 0.000 0.500 [1 per cell]

Summary:
uncorrected formation energy	1900.1	meV per atom

---

No. 7
Compound: NaYTaSe2
Source: Alexandria via LeMat-Bulk
Functional: PBE
Structure: relaxed

a b c (Å): 5.051 5.051 4.910
angles (deg): 90.00 90.00 90.00
Space group P4/mmm (No. 123)
Asymmetric unit:
Na: 0.000 0.000 0.000 [1 per cell]
Y: 0.500 0.500 0.500 [1 per cell]
Ta: 0.000 0.000 0.500 [1 per cell]
Se: 0.000 0.500 0.000 [2 per cell]

Summary:
uncorrected formation energy	746.5	meV per atom

---

No. 8
Compound: Na3Zr3TaSe8
Source: Alexandria via LeMat-Bulk
Functional: PBE
Structure: relaxed

a b c (Å): 7.4961 7.4961 22.1741
angles (deg): 90.00 90.00 120.00
Space group R-3m (No. 166, hexagonal axes)
Asymmetric unit:
Na: 0.0000 0.5000 0.0000 [9 per cell]
Zr: 0.0000 0.5000 0.5000 [9 per cell]
Ta: 0.0000 0.0000 0.5000 [3 per cell]
Se: 0.0000 0.0000 0.2423 [6 per cell]
Se: 0.0080 0.5040 0.2400 [18 per cell]

Summary:
uncorrected formation energy	-1199.7	meV per atom

---

No. 9
Compound: NaTb6Se8
Source: Alexandria via LeMat-Bulk
Functional: PBE
Structure: relaxed

a b c (Å): 8.6397 8.6397 17.3848
angles (deg): 90.00 90.00 120.00
Space group R-3 (No. 148, hexagonal axes)
Asymmetric unit:
Na: 0.0000 0.0000 0.0000 [3 per cell]
Tb: 0.0041 0.6212 0.0796 [18 per cell]
Se: 0.0000 0.0000 0.3260 [6 per cell]
Se: 0.0054 0.2808 0.0899 [18 per cell]

Summary:
offset from the most stable computed form	0.092	eV/atom
uncorrected formation energy	-1698.4	meV per atom

---

No. 10
Compound: NaTb5Se8
Source: Alexandria via LeMat-Bulk
Functional: PBE
Structure: relaxed

a b c (Å): 12.013 12.013 12.013
angles (deg): 90.00 90.00 90.00
Space group F-43m (No. 216)
Asymmetric unit:
Na: 0.000 0.000 0.000 [4 per cell]
Tb: 0.130 0.130 0.370 [16 per cell]
Tb: 0.250 0.250 0.750 [4 per cell]
Se: 0.117 0.117 0.617 [16 per cell]
Se: 0.135 0.135 0.135 [16 per cell]

Summary:
uncorrected formation energy	-1773.1	meV per atom

---

No. 11
Compound: NaTb6Se8
Source: Alexandria via LeMat-Bulk
Functional: PBE
Structure: relaxed

a b c (Å): 11.551 11.551 11.551
angles (deg): 90.00 90.00 90.00
Space group Fm-3m (No. 225)
Asymmetric unit:
Na: 0.000 0.000 0.000 [4 per cell]
Tb: 0.000 0.250 0.250 [24 per cell]
Se: 0.000 0.000 0.254 [24 per cell]
Se: 0.250 0.250 0.250 [8 per cell]

Summary:
offset from the most stable computed form	0.000	eV/atom
uncorrected formation energy	-1790.6	meV per atom

---

No. 12
Compound: NaTb2Se3
Source: Alexandria via LeMat-Bulk
Functional: PBE
Structure: relaxed

a b c (Å): 4.106 5.825 12.499
angles (deg): 90.00 90.00 90.00
Space group Immm (No. 71)
Asymmetric unit:
Na: 0.000 0.000 0.000 [2 per cell]
Tb: 0.000 0.000 0.336 [4 per cell]
Se: 0.000 0.500 0.000 [2 per cell]
Se: 0.000 0.500 0.329 [4 per cell]

Summary:
uncorrected formation energy	-1720.1	meV per atom

---

No. 13
Compound: NaTb4Se6
Source: Alexandria via LeMat-Bulk
Functional: PBE
Structure: relaxed

a b c (Å): 4.099 13.625 21.387
angles (deg): 90.00 90.00 90.00
Space group Cmcm (No. 63)
Asymmetric unit:
Na: 0.000 0.158 0.250 [4 per cell]
Tb: 0.000 0.095 0.637 [8 per cell]
Tb: 0.000 0.367 0.543 [8 per cell]
Se: 0.000 0.000 0.000 [4 per cell]
Se: 0.000 0.186 0.750 [4 per cell]
Se: 0.000 0.274 0.081 [8 per cell]
Se: 0.000 0.458 0.661 [8 per cell]

Summary:
uncorrected formation energy	-1759.6	meV per atom

---

No. 14
Compound: Na2TbTeSe4
Source: Alexandria via LeMat-Bulk
Functional: PBE
Structure: relaxed

a b c (Å): 11.792 11.731 8.316
angles (deg): 90.00 130.76 90.00
Space group C2/c (No. 15)
Asymmetric unit:
Na: 0.000 0.000 0.000 [4 per cell]
Na: 0.250 0.250 0.000 [4 per cell]
Tb: 0.000 0.500 0.000 [4 per cell]
Te: 0.250 0.250 0.500 [4 per cell]
Se: 0.027 0.255 0.524 [8 per cell]
Se: 0.229 0.491 0.465 [8 per cell]

Summary:
uncorrected formation energy	-1020.7	meV per atom

---

No. 15
Compound: NaTbTh2Se4
Source: Alexandria via LeMat-Bulk
Functional: PBE
Structure: relaxed

a b c (Å): 7.030 4.049 7.546
angles (deg): 90.00 107.72 90.00
Space group P2/m (No. 10)
Asymmetric unit:
Na: 0.000 0.000 0.000 [1 per cell]
Tb: 0.500 0.500 0.000 [1 per cell]
Th: 0.000 0.500 0.500 [1 per cell]
Th: 0.500 0.000 0.500 [1 per cell]
Se: 0.247 0.500 0.239 [2 per cell]
Se: 0.252 0.000 0.765 [2 per cell]

Summary:
uncorrected formation energy	-1566.6	meV per atom

---

No. 16
Compound: Na3TbTh3Se8
Source: Alexandria via LeMat-Bulk
Functional: PBE
Structure: relaxed

a b c (Å): 8.3776 8.3776 21.4088
angles (deg): 90.00 90.00 120.00
Space group R-3m (No. 166, hexagonal axes)
Asymmetric unit:
Na: 0.0000 0.5000 0.0000 [9 per cell]
Tb: 0.0000 0.0000 0.5000 [3 per cell]
Th: 0.0000 0.5000 0.5000 [9 per cell]
Se: 0.0000 0.0000 0.2483 [6 per cell]
Se: 0.0038 0.5019 0.2443 [18 per cell]

Summary:
uncorrected formation energy	-1573.8	meV per atom

---

No. 17
Compound: NaTb2Th3Se6
Source: Alexandria via LeMat-Bulk
Functional: PBE
Structure: relaxed

a b c (Å): 18.464 4.062 8.536
angles (deg): 90.00 107.49 90.00
Space group C2/m (No. 12)
Asymmetric unit:
Na: 0.000 0.000 0.000 [2 per cell]
Tb: 0.169 0.500 0.335 [4 per cell]
Th: 0.000 0.000 0.500 [2 per cell]
Th: 0.167 0.500 0.833 [4 per cell]
Se: 0.003 0.500 0.244 [4 per cell]
Se: 0.162 0.000 0.089 [4 per cell]
Se: 0.169 0.000 0.575 [4 per cell]

Summary:
uncorrected formation energy	-1595.8	meV per atom

---

No. 18
Compound: Na4TbTh3Se8
Source: Alexandria via LeMat-Bulk
Functional: PBE
Structure: relaxed

a b c (Å): 8.3138 8.3138 21.5517
angles (deg): 90.00 90.00 120.00
Space group R-3m (No. 166, hexagonal axes)
Asymmetric unit:
Na: 0.0000 0.0000 0.0000 [3 per cell]
Na: 0.0000 0.5000 0.0000 [9 per cell]
Tb: 0.0000 0.0000 0.5000 [3 per cell]
Th: 0.0000 0.5000 0.5000 [9 per cell]
Se: 0.0000 0.0000 0.2489 [6 per cell]
Se: 0.0047 0.5023 0.2465 [18 per cell]

Summary:
uncorrected formation energy	-1529.5	meV per atom

---

No. 19
Compound: Na3Tb2TiSe6
Source: Alexandria via LeMat-Bulk
Functional: PBE
Structure: relaxed

a b c (Å): 7.005 12.133 7.387
angles (deg): 90.00 108.47 90.00
Space group C2/m (No. 12)
Asymmetric unit:
Na: 0.000 0.000 0.000 [2 per cell]
Na: 0.000 0.330 0.000 [4 per cell]
Tb: 0.000 0.167 0.500 [4 per cell]
Ti: 0.000 0.500 0.500 [2 per cell]
Se: 0.232 0.343 0.725 [8 per cell]
Se: 0.237 0.500 0.278 [4 per cell]

Summary:
uncorrected formation energy	-1491.9	meV per atom

---

No. 20
Compound: Na3TbTi2Se6
Source: Alexandria via LeMat-Bulk
Functional: PBE
Structure: relaxed

a b c (Å): 6.735 11.752 7.380
angles (deg): 90.00 108.06 90.00
Space group C2/m (No. 12)
Asymmetric unit:
Na: 0.000 0.000 0.000 [2 per cell]
Na: 0.000 0.341 0.000 [4 per cell]
Tb: 0.000 0.500 0.500 [2 per cell]
Ti: 0.000 0.172 0.500 [4 per cell]
Se: 0.216 0.000 0.715 [4 per cell]
Se: 0.249 0.177 0.280 [8 per cell]

Summary:
uncorrected formation energy	-1316.8	meV per atom